Entry 1:
! PBE CaTcRu2, optimized geometry; values from VASP
&SYSTEM
  ibrav = 0, nat = 4, ntyp = 3
/
ATOMIC_SPECIES
Ca 40.08 Ca.upf
Tc 98.00 Tc.upf
Ru 101.07 Ru.upf
CELL_PARAMETERS angstrom
2.8543 0.0000 0.0000
0.0000 4.2219 0.0000
-1.3757 0.0000 5.7191
ATOMIC_POSITIONS crystal
Ca 0.0000 0.0000 0.0000
Tc 0.5000 0.0000 0.5000
Ru 0.3066 0.5000 0.7033
Ru 0.6934 0.5000 0.2967
! Symmetry: No. 10
! Formation energy, eV per atom: 0.4650
! Energy above the most stable polymorph in this dataset, eV/f.u.: 0.711
! Total moment, μB per cell: 0.000
! Fermi-level density of states, states/eV per atom: 1.21
! Energy, eV/atom: -7.265

Entry 2:
! PBE K2MgU3O12, optimized geometry; values from VASP
&SYSTEM
  ibrav = 0, nat = 18, ntyp = 4
/
ATOMIC_SPECIES
K 39.10 K.upf
Mg 24.30 Mg.upf
U 238.03 U.upf
O 16.00 O.upf
CELL_PARAMETERS angstrom
4.0139 2.3174 5.8995
-4.0139 2.3174 5.8995
0.0000 -4.6348 5.8995
ATOMIC_POSITIONS crystal
K 0.1436 0.1436 0.1436
K 0.8564 0.8564 0.8564
Mg 0.5000 0.5000 0.5000
U 0.0000 0.5000 0.5000
U 0.5000 0.0000 0.5000
U 0.5000 0.5000 0.0000
O 0.1812 0.1812 0.5597
O 0.1812 0.5597 0.1812
O 0.1831 0.5646 0.5646
O 0.4354 0.4354 0.8169
O 0.4354 0.8169 0.4354
O 0.4403 0.8188 0.8188
O 0.5597 0.1812 0.1812
O 0.5646 0.1830 0.5646
O 0.5646 0.5646 0.1831
O 0.8169 0.4354 0.4354
O 0.8188 0.4403 0.8188
O 0.8188 0.8188 0.4403
! Symmetry: No. 166
! Total moment, μB per cell: 0.000
! Fermi-level density of states, states/eV per atom: 0.90
! Energy relative to the elements, uncorrected, eV per formula unit: -47.32
! Energy, eV/atom: -8.026

Entry 3:
! PBE La19Y4Tm6, optimized geometry; values from VASP
&SYSTEM
  ibrav = 0, nat = 29, ntyp = 3
/
ATOMIC_SPECIES
La 138.91 La.upf
Y 88.91 Y.upf
Tm 168.93 Tm.upf
CELL_PARAMETERS angstrom
-6.4066 6.4066 6.4066
6.4066 -6.4066 6.4066
6.4066 6.4066 -6.4066
ATOMIC_POSITIONS crystal
La 0.0000 0.0000 0.0000
La 0.0000 0.2554 0.2554
La 0.0000 0.7446 0.7446
La 0.0338 0.8080 0.3482
La 0.1920 0.2258 0.5403
La 0.2258 0.5403 0.1920
La 0.2554 0.0000 0.2554
La 0.2554 0.2554 0.0000
La 0.3144 0.7742 0.9662
La 0.3482 0.0338 0.8080
La 0.4597 0.6856 0.6518
La 0.5403 0.1920 0.2258
La 0.6518 0.4597 0.6856
La 0.6856 0.6518 0.4597
La 0.7446 0.0000 0.7446
La 0.7446 0.7446 0.0000
La 0.7742 0.9662 0.3144
La 0.8080 0.3482 0.0338
La 0.9662 0.3144 0.7742
Y 0.0000 0.0000 0.6363
Y 0.0000 0.6363 0.0000
Y 0.3637 0.3637 0.3637
Y 0.6363 0.0000 0.0000
Tm 0.1237 0.6237 0.5000
Tm 0.3763 0.5000 0.8763
Tm 0.5000 0.1237 0.6237
Tm 0.5000 0.8763 0.3763
Tm 0.6237 0.5000 0.1237
Tm 0.8763 0.3763 0.5000
! Symmetry: No. 197
! Formation energy, eV per atom: 0.3533
! Total moment, μB per cell: 0.000
! Fermi-level density of states, states/eV per atom: 1.69
! Energy, eV/atom: -4.692

Entry 4:
! PBE Y2AlSbC, optimized geometry; values from VASP
&SYSTEM
  ibrav = 0, nat = 5, ntyp = 4
/
ATOMIC_SPECIES
Y 88.91 Y.upf
Al 26.98 Al.upf
Sb 121.76 Sb.upf
C 12.01 C.upf
CELL_PARAMETERS angstrom
5.0592 0.0000 0.0000
0.0000 5.0592 0.0000
0.0000 0.0000 4.0228
ATOMIC_POSITIONS crystal
Y 0.0000 0.5000 0.0000
Y 0.5000 0.0000 0.0000
Al 0.0000 0.0000 0.5000
Sb 0.5000 0.5000 0.5000
C 0.0000 0.0000 0.0000
! Symmetry: No. 123
! Total moment, μB per cell: 0.000
! Fermi-level density of states, states/eV per atom: 0.49
! Energy relative to the elements, uncorrected, eV per formula unit: -2.62
! Energy, eV/atom: -6.527

Entry 5:
! PBE TiAg3Te, optimized geometry; values from VASP
&SYSTEM
  ibrav = 0, nat = 5, ntyp = 3
/
ATOMIC_SPECIES
Ti 47.87 Ti.upf
Ag 107.87 Ag.upf
Te 127.60 Te.upf
CELL_PARAMETERS angstrom
5.0803 0.0000 0.0000
0.0000 5.0803 0.0000
0.0000 0.0000 5.0803
ATOMIC_POSITIONS crystal
Ti 0.0000 0.0000 0.0000
Ag 0.0000 0.0000 0.5000
Ag 0.0000 0.5000 0.0000
Ag 0.5000 0.0000 0.0000
Te 0.5000 0.5000 0.5000
! Symmetry: No. 221
! Energy above the most stable polymorph in this dataset, eV/f.u.: 0.000
! Total moment, μB per cell: 1.993
! Fermi-level density of states, states/eV per atom: 1.05
! Energy relative to the elements, uncorrected, eV per formula unit: 4.96
! Energy, eV/atom: -2.926

Entry 6:
! PBE KLaMn2Au, optimized geometry; values from VASP
&SYSTEM
  ibrav = 0, nat = 5, ntyp = 4
/
ATOMIC_SPECIES
K 39.10 K.upf
La 138.91 La.upf
Mn 54.94 Mn.upf
Au 196.97 Au.upf
CELL_PARAMETERS angstrom
5.6117 0.0000 0.0000
0.0000 5.6117 0.0000
0.0000 0.0000 5.7189
ATOMIC_POSITIONS crystal
K 0.0000 0.0000 0.0000
La 0.5000 0.5000 0.5000
Mn 0.0000 0.5000 0.5000
Mn 0.5000 0.0000 0.5000
Au 0.5000 0.5000 0.0000
! Symmetry: No. 123
! Formation energy, eV per atom: 0.8899
! Total moment, μB per cell: 7.742
! Fermi-level density of states, states/eV per atom: 0.83
! Energy, eV/atom: -4.638